VASP calculation (PBE-GGA) on crystalline InIrRh4 at its relaxed geometry.

Cell: 5.1325 5.1325 5.1325 Å, 60.00 60.00 60.00°
Sites, in units of the cell vectors:
Ir (0.0000, 0.0000, 0.0000)
In (0.2500, 0.2500, 0.2500)
Rh (0.6254, 0.1239, 0.6254)
Rh (0.6254, 0.6254, 0.1239)
Rh (0.6254, 0.6254, 0.6254)
Rh (0.1239, 0.6254, 0.6254)

Computed properties:
E ... -6.519 eV/atom